A geometry-optimized KMgSeF2 structure, computed with PBE-GGA.

abc: 4.506 6.003 4.506
angles: 90.00 90.00 90.00
Each line ends with the local moment (μB).
Element x y z (fractional)
K 0.000 0.000 0.000  0.05
Mg 0.500 0.500 0.500  -0.01
Se 0.000 0.500 0.000  0.35
F 0.000 0.000 0.500  0.29
F 0.500 0.000 0.000  0.07

Calculated values
D(E_F) in states/eV per atom: 0.577
Energy relative to the elements, uncorrected in meV per atom: -1046
Size of the total moment in μB/cell: 1.000